(1)
A relaxed KCoTe2I crystal. Source: the Alexandria database, functional PBE-GGA.

abc: 5.0177 5.0177 6.5925
angles: 90.00 90.00 90.00
Space group P4/mmm (No. 123)
Unique sites:
K 0.0000 0.0000 0.0000 [1 per cell]
Co 0.5000 0.5000 0.5000 [1 per cell]
Te 0.0000 0.5000 0.5000 [2 per cell]
I 0.5000 0.5000 0.0000 [1 per cell]

Values from the calculation:
relative energy among the computed polymorphs: 0.00 eV/f.u.
density of states at the Fermi level: 0.6749 states/eV/atom
energy relative to the elements, uncorrected: -1.2 eV per formula unit


(2)
A relaxed KCoTe2I crystal. Source: the Alexandria database, functional PBE-GGA.

abc: 6.3372 6.3372 6.2295
angles: 90.00 90.00 90.00
Space group P4/mmm (No. 123)
Unique sites:
K 0.0000 0.0000 0.0000 [1 per cell]
Co 0.5000 0.5000 0.5000 [1 per cell]
Te 0.0000 0.5000 0.0000 [2 per cell]
I 0.0000 0.0000 0.5000 [1 per cell]

Values from the calculation:
relative energy among the computed polymorphs: 7.13 eV/f.u.
density of states at the Fermi level: 1.6935 states/eV/atom
energy relative to the elements, uncorrected: 6.0 eV per formula unit


> The lowest energy relative to the elements, uncorrected belongs to which entry?

number 1


> Look up the energy relative to the elements, uncorrected of the second one.

6.0 eV per formula unit